The following is a PBE-GGA calculation of Sc2Nb4P3N3 after structural relaxation, from the Open Quantum Materials Database.

The space group is C2/c (No. 15) and the conventional cell measures 9.876, 5.738 and 12.078 Å, with angles of 90.00, 105.56 and 90.00 degrees. The distinct sites, in fractional coordinates, are Sc at (0.049, 0.083, 0.396), Nb at (0.115, 0.423, 0.596), Nb at (0.215, 0.414, 0.904), P at (0.000, 0.426, 0.250), P at (0.172, 0.090, 0.750), N at (0.079, 0.237, 0.000) and N at (0.250, 0.250, 0.500).

As for the total energy: -8.9949 eV per atom.

=====

The following is a PBE-GGA calculation of Nb4SiPN2 after structural relaxation, from the Open Quantum Materials Database.

The space group is P-6m2 (No. 187) and the conventional cell measures 3.2624, 3.2624 and 11.9128 Å, with angles of 90.00, 90.00 and 120.00 degrees. The distinct sites, in fractional coordinates, are Nb at (0.0000, 0.0000, 0.1465), Nb at (0.3333, 0.6667, 0.3399), Si at (0.0000, 0.0000, 0.5000), P at (0.3333, 0.6667, 0.0000) and N at (0.6667, 0.3333, 0.2464).

As for the total energy: -9.2390 eV per atom.

=====

The following is a PBE-GGA calculation of Ta4Nb2P3N3 after structural relaxation, from the Open Quantum Materials Database.

The space group is C2/c (No. 15) and the conventional cell measures 9.536, 5.506 and 12.510 Å, with angles of 90.00, 104.87 and 90.00 degrees. The distinct sites, in fractional coordinates, are Ta at (0.117, 0.092, 0.105), Ta at (0.220, 0.078, 0.396), Nb at (0.043, 0.419, 0.891), P at (0.000, 0.080, 0.750), P at (0.169, 0.415, 0.251), N at (0.088, 0.239, 0.500) and N at (0.250, 0.250, 0.000).

As for the total energy: -9.8535 eV per atom.

=====

The following is a PBE-GGA calculation of Nb4P3W2N3 after structural relaxation, from the Open Quantum Materials Database.

The space group is C2/c (No. 15) and the conventional cell measures 9.411, 5.420 and 12.634 Å, with angles of 90.00, 104.75 and 90.00 degrees. The distinct sites, in fractional coordinates, are Nb at (0.119, 0.083, 0.105), Nb at (0.213, 0.085, 0.395), P at (0.000, 0.083, 0.750), P at (0.167, 0.416, 0.248), W at (0.052, 0.420, 0.885), N at (0.077, 0.269, 0.501) and N at (0.250, 0.250, 0.000).

As for the total energy: -9.4900 eV per atom.

=====

The following is a PBE-GGA calculation of Nb2P3W4N3 after structural relaxation, from the Open Quantum Materials Database.

The space group is C2/c (No. 15) and the conventional cell measures 9.120, 5.341 and 12.812 Å, with angles of 90.00, 104.05 and 90.00 degrees. The distinct sites, in fractional coordinates, are Nb at (0.046, 0.083, 0.380), P at (0.000, 0.444, 0.250), P at (0.182, 0.102, 0.749), W at (0.117, 0.430, 0.599), W at (0.211, 0.414, 0.901), N at (0.076, 0.231, 0.000) and N at (0.250, 0.250, 0.500).

As for the total energy: -9.6690 eV per atom.

=====

The following is a PBE-GGA calculation of Y2Nb4P3N3 after structural relaxation, from the Open Quantum Materials Database.

The space group is C2/c (No. 15) and the conventional cell measures 10.114, 5.876 and 12.382 Å, with angles of 90.00, 105.59 and 90.00 degrees. The distinct sites, in fractional coordinates, are Y at (0.046, 0.082, 0.391), Nb at (0.116, 0.421, 0.593), Nb at (0.216, 0.416, 0.906), P at (0.000, 0.448, 0.250), P at (0.183, 0.103, 0.750), N at (0.083, 0.251, 0.000) and N at (0.250, 0.250, 0.500).

As for the total energy: -8.9035 eV per atom.